# 1
Below is crystalline ZrSnCI2 at its relaxed geometry, with properties calculated at the GGA-PBE level.

It has space group P4/mmm (No. 123), with a = 4.844 Å, b = 4.844 Å, c = 4.963 Å, α = 90.00°, β = 90.00° and γ = 90.00°. The distinct sites, in fractional coordinates, are Zr at (0.000, 0.000, 0.000), Sn at (0.500, 0.500, 0.000), C at (0.500, 0.500, 0.500) and I at (0.000, 0.500, 0.500).

Its density is 6.78 g cm⁻³. For the density of states at the Fermi level, the calculation gives 4.374 states/eV/f.u. The uncorrected formation energy is 5.64 eV per formula unit.

=====

# 2
Below is crystalline La4Tb10Th at its relaxed geometry, with properties calculated at the GGA-PBE level.

It has space group I4/m (No. 87), with a = 9.775 Å, b = 9.775 Å, c = 11.686 Å, α = 90.00°, β = 90.00° and γ = 90.00°. The distinct sites, in fractional coordinates, are La at (0.069, 0.687, 0.000), Tb at (0.000, 0.500, 0.250), Tb at (0.120, 0.778, 0.329) and Th at (0.000, 0.000, 0.500).

Its density is 7.07 g cm⁻³. For the density of states at the Fermi level, the calculation gives 27.476 states/eV/f.u. The energy of formation comes out at 0.42 eV/atom.

=====

# 3
Below is crystalline CeHo2ScSe6 at its relaxed geometry, with properties calculated at the GGA-PBE level.

It has space group R3 (No. 146, hexagonal axes), with a = 7.1643 Å, b = 7.1643 Å, c = 19.3064 Å, α = 90.00°, β = 90.00° and γ = 120.00°. The distinct sites, in fractional coordinates, are Ce at (0.0000, 0.0000, 0.0000), Ho at (0.0000, 0.0000, 0.1966), Ho at (0.0000, 0.0000, 0.7025), Sc at (0.0000, 0.0000, 0.5075), Se at (0.0100, 0.3584, 0.7698) and Se at (0.0476, 0.6818, 0.2667).

Its density is 5.74 g cm⁻³. For the density of states at the Fermi level, the calculation gives 5.266 states/eV/f.u. The uncorrected formation energy is -17.59 eV per formula unit.

=====

# 4
Below is crystalline Tb5Sm5Sc2 at its relaxed geometry, with properties calculated at the GGA-PBE level.

It has space group P-1 (No. 2), with a = 6.116 Å, b = 7.924 Å, c = 8.674 Å, α = 68.48°, β = 89.66° and γ = 75.00°. The distinct sites, in fractional coordinates, are Tb at (0.000, 0.000, 0.000), Tb at (0.085, 0.246, 0.583), Tb at (0.167, 0.494, 0.169), Sm at (0.248, 0.757, 0.745), Sm at (0.417, 0.247, 0.917), Sm at (0.500, 0.500, 0.500) and Sc at (0.337, 0.999, 0.337).

Its density is 7.23 g cm⁻³. For the density of states at the Fermi level, the calculation gives 17.193 states/eV/f.u. The relative energy among the computed polymorphs is 0 meV per atom. The energy of formation comes out at 0.03 eV/atom.

=====

# 5
Below is crystalline Rb2PuTlCl6 at its relaxed geometry, with properties calculated at the GGA-PBE level.

It has space group P2_1/c (No. 14), with a = 7.772 Å, b = 8.257 Å, c = 13.533 Å, α = 90.00°, β = 124.58° and γ = 90.00°. The distinct sites, in fractional coordinates, are Rb at (0.224, 0.070, 0.250), Pu at (0.500, 0.000, 0.000), Tl at (0.000, 0.000, 0.500), Cl at (0.162, 0.182, 0.942), Cl at (0.265, 0.724, 0.936) and Cl at (0.390, 0.050, 0.772).

Its density is 3.86 g cm⁻³. For the density of states at the Fermi level, the calculation gives 9.288 states/eV/f.u. The uncorrected formation energy is -17.89 eV per formula unit.

=====

# 6
Below is crystalline LiHoTmZn at its relaxed geometry, with properties calculated at the GGA-PBE level.

It has space group F-43m (No. 216), with a = 7.150 Å, b = 7.150 Å, c = 7.150 Å, α = 90.00°, β = 90.00° and γ = 90.00°. The distinct sites, in fractional coordinates, are Li at (0.000, 0.000, 0.000), Ho at (0.250, 0.250, 0.750), Tm at (0.250, 0.250, 0.250) and Zn at (0.000, 0.000, 0.500).

Its density is 7.38 g cm⁻³. For the density of states at the Fermi level, the calculation gives 4.862 states/eV/f.u. The energy of formation comes out at -0.12 eV/atom.

=====

# 7
Below is crystalline Cd2PbBr at its relaxed geometry, with properties calculated at the GGA-PBE level.

It has space group P4/mmm (No. 123), with a = 3.741 Å, b = 3.741 Å, c = 7.959 Å, α = 90.00°, β = 90.00° and γ = 90.00°. The distinct sites, in fractional coordinates, are Cd at (0.000, 0.000, 0.249), Pb at (0.500, 0.500, 0.000) and Br at (0.500, 0.500, 0.500).

Its density is 7.63 g cm⁻³. For the density of states at the Fermi level, the calculation gives 1.024 states/eV/f.u. The relative energy among the computed polymorphs is 51 meV per atom. The uncorrected formation energy is -0.51 eV per formula unit.

=====

# 8
Below is crystalline RbCe3Cl9 at its relaxed geometry, with properties calculated at the GGA-PBE level.

It has space group P2_1/m (No. 11), with a = 7.665 Å, b = 10.697 Å, c = 11.469 Å, α = 90.00°, β = 93.17° and γ = 90.00°. The distinct sites, in fractional coordinates, are Rb at (0.039, 0.250, 0.436), Ce at (0.000, 0.000, 0.000), Ce at (0.464, 0.003, 0.690), Cl at (0.110, 0.250, 0.980), Cl at (0.143, 0.562, 0.783), Cl at (0.269, 0.542, 0.470), Cl at (0.322, 0.562, 0.116), Cl at (0.339, 0.250, 0.662) and Cl at (0.425, 0.250, 0.304).

Its density is 2.92 g cm⁻³. For the density of states at the Fermi level, the calculation gives 28.005 states/eV/f.u. The uncorrected formation energy is -27.72 eV per formula unit.

=====

# 9
Below is crystalline Cu2SiIr at its relaxed geometry, with properties calculated at the GGA-PBE level.

It has space group Cmmm (No. 65), with a = 2.714 Å, b = 4.644 Å, c = 8.509 Å, α = 90.00°, β = 90.00° and γ = 90.00°. The distinct sites, in fractional coordinates, are Cu at (0.000, 0.000, 0.238), Si at (0.000, 0.500, 0.000) and Ir at (0.000, 0.500, 0.500).

Its density is 10.76 g cm⁻³. For the density of states at the Fermi level, the calculation gives 2.854 states/eV/f.u. The uncorrected formation energy is 0.72 eV per formula unit.

=====

# 10
Below is crystalline RuPt3Au at its relaxed geometry, with properties calculated at the GGA-PBE level.

It has space group Pm-3m (No. 221), with a = 4.906 Å, b = 4.906 Å, c = 4.906 Å, α = 90.00°, β = 90.00° and γ = 90.00°. The distinct sites, in fractional coordinates, are Ru at (0.000, 0.000, 0.000), Pt at (0.000, 0.500, 0.500) and Au at (0.500, 0.500, 0.500).

Its density is 12.42 g cm⁻³. For the density of states at the Fermi level, the calculation gives 7.557 states/eV/f.u. The relative energy among the computed polymorphs is 538 meV per atom. The energy of formation comes out at 1.92 eV/atom.

=====

# 11
Below is crystalline Li2PrGaS4 at its relaxed geometry, with properties calculated at the GGA-PBE level.

It has space group Imma (No. 74), with a = 7.346 Å, b = 8.071 Å, c = 10.806 Å, α = 90.00°, β = 90.00° and γ = 90.00°. The distinct sites, in fractional coordinates, are Li at (0.000, 0.000, 0.000), Li at (0.250, 0.250, 0.250), Pr at (0.000, 0.000, 0.500), Ga at (0.250, 0.250, 0.750), S at (0.000, 0.043, 0.762) and S at (0.236, 0.250, 0.011).

Its density is 3.66 g cm⁻³. The uncorrected formation energy is -9.89 eV per formula unit.

=====

# 12
Below is crystalline Te2SIN at its relaxed geometry, with properties calculated at the GGA-PBE level.

It has space group P4/mmm (No. 123), with a = 6.292 Å, b = 6.292 Å, c = 3.276 Å, α = 90.00°, β = 90.00° and γ = 90.00°. The distinct sites, in fractional coordinates, are Te at (0.000, 0.500, 0.000), S at (0.000, 0.000, 0.000), I at (0.500, 0.500, 0.500) and N at (0.000, 0.000, 0.500).

Its density is 5.48 g cm⁻³. For the density of states at the Fermi level, the calculation gives 3.693 states/eV/f.u. The relative energy among the computed polymorphs is 0 meV per atom. The uncorrected formation energy is 4.41 eV per formula unit.

=====

Number 1: VASP energy -3.847 eV/atom. Number 2: VASP energy -4.473 eV/atom. Number 3: VASP energy -5.992 eV/atom. Number 4: VASP energy -4.916 eV/atom. Number 5: VASP energy -4.760 eV/atom. Number 6: VASP energy -3.175 eV/atom. Number 7: VASP energy -1.931 eV/atom. Number 8: VASP energy -4.854 eV/atom. Number 9: VASP energy -5.438 eV/atom. Number 10: VASP energy -4.220 eV/atom. Number 11: VASP energy -4.754 eV/atom. Number 12: VASP energy -3.175 eV/atom.